[1]
This record from the Alexandria database describes crystalline SrLa2MgC at its relaxed geometry. The functional is GGA-PBE.

a b c (Å): 6.1816 6.1816 4.4339
angles (deg): 90.00 90.00 90.00
Atoms (fractional coordinates):
Sr 0.0000 0.0000 0.0000
La 0.0000 0.5000 0.0000
La 0.5000 0.0000 0.0000
Mg 0.5000 0.5000 0.5000
C 0.0000 0.0000 0.5000

- Symmetry: P4/mmm, No. 123
- Energy of formation from the pure elements: 1.462 eV per atom
- ΔE to the lowest computed polymorph: 1.4045 eV per atom

[2]
This record from the Alexandria database describes crystalline SrLa2MgC at its relaxed geometry. The functional is GGA-PBE.

a b c (Å): 5.2147 5.2147 5.6644
angles (deg): 90.00 90.00 90.00
Atoms (fractional coordinates):
Sr 0.0000 0.0000 0.0000
La 0.0000 0.5000 0.5000
La 0.5000 0.0000 0.5000
Mg 0.5000 0.5000 0.0000
C 0.0000 0.0000 0.5000

- Symmetry: P4/mmm, No. 123
- Energy of formation from the pure elements: 0.058 eV per atom
- ΔE to the lowest computed polymorph: 0.0000 eV per atom

[3]
This record from the Alexandria database describes crystalline La2MgTcC at its relaxed geometry. The functional is GGA-PBE.

a b c (Å): 5.3756 5.3756 4.0372
angles (deg): 90.00 90.00 90.00
Atoms (fractional coordinates):
La 0.0000 0.5000 0.0000
La 0.5000 0.0000 0.0000
Mg 0.0000 0.0000 0.5000
Tc 0.5000 0.5000 0.5000
C 0.5000 0.5000 0.0000

- Symmetry: P4/mmm, No. 123
- Energy of formation from the pure elements: -0.091 eV per atom

[4]
This record from the Alexandria database describes crystalline La2MgTeC at its relaxed geometry. The functional is GGA-PBE.

a b c (Å): 5.3741 5.3741 4.3007
angles (deg): 90.00 90.00 90.00
Atoms (fractional coordinates):
La 0.0000 0.5000 0.0000
La 0.5000 0.0000 0.0000
Mg 0.0000 0.0000 0.5000
Te 0.5000 0.5000 0.5000
C 0.0000 0.0000 0.0000

- Symmetry: P4/mmm, No. 123
- VASP energy: -26.48 eV/cell